A relaxed PrYI crystal, computed with PBE-GGA.

Values from the calculation:
**Calculated total energy**: -4.468 eV per atom
**SG**: P3m1 (156)
**Raw formation energy**: -19.7 kJ/mol of atoms
**Spin magnetization**: 0.000 μB/atom
**Polymorph energy (0 for the lowest one)**: 251 meV/atom

The structure in CIF format:
```
data_PrYI
_symmetry_space_group_name_H-M 'P 1'
_symmetry_Int_Tables_number 1
_cell_length_a 5.463
_cell_length_b 5.463
_cell_length_c 3.903
_cell_angle_alpha 90.00
_cell_angle_beta 90.00
_cell_angle_gamma 120.00
loop_
_symmetry_equiv_pos_as_xyz
'x,y,z'
loop_
_atom_site_label
_atom_site_type_symbol
_atom_site_fract_x
_atom_site_fract_y
_atom_site_fract_z
_atom_site_occupancy
Pr1 Pr 0.000 0.000 0.000 1
Y1 Y 0.667 0.333 0.482 1
I1 I 0.333 0.667 0.382 1
```



A relaxed PrYI3 crystal, computed with PBE-GGA.

Values from the calculation:
**Calculated total energy**: -4.290 eV per atom
**SG**: C2/m (12)
**Raw formation energy**: -107.2 kJ/mol of atoms
**Spin magnetization**: 0.000 μB/atom
**Polymorph energy (0 for the lowest one)**: 25 meV/atom

The structure in CIF format:
```
data_PrYI3
_symmetry_space_group_name_H-M 'P 1'
_symmetry_Int_Tables_number 1
_cell_length_a 10.551
_cell_length_b 10.551
_cell_length_c 11.696
_cell_angle_alpha 111.93
_cell_angle_beta 111.93
_cell_angle_gamma 22.90
loop_
_symmetry_equiv_pos_as_xyz
'x,y,z'
loop_
_atom_site_label
_atom_site_type_symbol
_atom_site_fract_x
_atom_site_fract_y
_atom_site_fract_z
_atom_site_occupancy
Pr1 Pr 0.078 0.078 0.250 1
Pr2 Pr 0.922 0.922 0.750 1
Y1 Y 0.426 0.426 0.028 1
Y2 Y 0.574 0.574 0.972 1
I1 I 0.078 0.078 0.770 1
I2 I 0.191 0.191 0.130 1
I3 I 0.363 0.363 0.531 1
I4 I 0.637 0.637 0.469 1
I5 I 0.809 0.809 0.870 1
I6 I 0.922 0.922 0.230 1
```



A relaxed Pr2YI crystal, computed with PBE-GGA.

Values from the calculation:
**Calculated total energy**: -4.532 eV per atom
**SG**: R-3m (166)
**Raw formation energy**: -13.4 kJ/mol of atoms
**Spin magnetization**: 0.097 μB/atom
**Polymorph energy (0 for the lowest one)**: 272 meV/atom

The structure in CIF format:
```
data_Pr2YI
_symmetry_space_group_name_H-M 'P 1'
_symmetry_Int_Tables_number 1
_cell_length_a 12.151
_cell_length_b 12.151
_cell_length_c 12.151
_cell_angle_alpha 17.41
_cell_angle_beta 17.41
_cell_angle_gamma 17.41
loop_
_symmetry_equiv_pos_as_xyz
'x,y,z'
loop_
_atom_site_label
_atom_site_type_symbol
_atom_site_fract_x
_atom_site_fract_y
_atom_site_fract_z
_atom_site_occupancy
Pr1 Pr 0.095 0.095 0.095 1
Pr2 Pr 0.905 0.905 0.905 1
Y1 Y 0.000 0.000 0.000 1
I1 I 0.500 0.500 0.500 1
```



A relaxed PrYI3 crystal, computed with PBE-GGA.

Values from the calculation:
**Calculated total energy**: -4.315 eV per atom
**SG**: C2/m (12)
**Raw formation energy**: -109.6 kJ/mol of atoms
**Spin magnetization**: 0.000 μB/atom
**Polymorph energy (0 for the lowest one)**: 0 meV/atom

The structure in CIF format:
```
data_PrYI3
_symmetry_space_group_name_H-M 'P 1'
_symmetry_Int_Tables_number 1
_cell_length_a 10.310
_cell_length_b 10.310
_cell_length_c 12.586
_cell_angle_alpha 124.37
_cell_angle_beta 124.37
_cell_angle_gamma 23.14
loop_
_symmetry_equiv_pos_as_xyz
'x,y,z'
loop_
_atom_site_label
_atom_site_type_symbol
_atom_site_fract_x
_atom_site_fract_y
_atom_site_fract_z
_atom_site_occupancy
Pr1 Pr 0.134 0.134 0.279 1
Pr2 Pr 0.866 0.866 0.721 1
Y1 Y 0.434 0.434 0.039 1
Y2 Y 0.566 0.566 0.961 1
I1 I 0.035 0.035 0.750 1
I2 I 0.211 0.211 0.117 1
I3 I 0.335 0.335 0.494 1
I4 I 0.665 0.665 0.506 1
I5 I 0.789 0.789 0.883 1
I6 I 0.965 0.965 0.250 1
```



A relaxed Pr2YI crystal, computed with PBE-GGA.

Values from the calculation:
**Calculated total energy**: -4.805 eV per atom
**SG**: R3m (160)
**Raw formation energy**: -39.7 kJ/mol of atoms
**Spin magnetization**: 0.106 μB/atom
**Polymorph energy (0 for the lowest one)**: 0 meV/atom

The structure in CIF format:
```
data_Pr2YI
_symmetry_space_group_name_H-M 'P 1'
_symmetry_Int_Tables_number 1
_cell_length_a 11.110
_cell_length_b 11.110
_cell_length_c 11.110
_cell_angle_alpha 19.89
_cell_angle_beta 19.89
_cell_angle_gamma 19.89
loop_
_symmetry_equiv_pos_as_xyz
'x,y,z'
loop_
_atom_site_label
_atom_site_type_symbol
_atom_site_fract_x
_atom_site_fract_y
_atom_site_fract_z
_atom_site_occupancy
Pr1 Pr 0.000 0.000 0.000 1
Pr2 Pr 0.155 0.155 0.155 1
Y1 Y 0.578 0.578 0.578 1
I1 I 0.411 0.411 0.411 1
```



A relaxed PrY2I crystal, computed with PBE-GGA.

Values from the calculation:
**Calculated total energy**: -4.880 eV per atom
**SG**: R-3m (166)
**Raw formation energy**: -6.3 kJ/mol of atoms
**Spin magnetization**: 0.003 μB/atom
**Polymorph energy (0 for the lowest one)**: 266 meV/atom

The structure in CIF format:
```
data_PrY2I
_symmetry_space_group_name_H-M 'P 1'
_symmetry_Int_Tables_number 1
_cell_length_a 11.987
_cell_length_b 11.987
_cell_length_c 11.987
_cell_angle_alpha 17.43
_cell_angle_beta 17.43
_cell_angle_gamma 17.43
loop_
_symmetry_equiv_pos_as_xyz
'x,y,z'
loop_
_atom_site_label
_atom_site_type_symbol
_atom_site_fract_x
_atom_site_fract_y
_atom_site_fract_z
_atom_site_occupancy
Pr1 Pr 0.000 0.000 0.000 1
Y1 Y 0.097 0.097 0.097 1
Y2 Y 0.903 0.903 0.903 1
I1 I 0.500 0.500 0.500 1
```